The following is a DFT calculation (PBE with a Hubbard U) of a relaxed structure of VSb2TeO.

abc: 5.0375 5.0375 4.9765
angles: 90.00 90.00 90.00
Closest atoms and distances in Å follow each position.
Positions (direct):
Sb (0.0000, 0.5000, 0.0000)  2 V 2.52
Sb (0.5000, 0.0000, 0.0000)  2 V 2.52
Te (0.0000, 0.0000, 0.5000)  2 V 2.49
O (0.5000, 0.5000, 0.5000)  8 Sb 3.54, 4 Te 3.56
V (0.0000, 0.0000, 0.0000)  2 Te 2.49, 4 Sb 2.52

ΔE to the lowest computed polymorph	459	meV per atom
calculated total energy	-3.862	eV per atom